Entry 1:
# PBE-GGA FeHgSbW, relaxed
# Crystal system: cubic
# Offset from the most stable computed form (meV/atom): 282
data_FeHgSbW
_cell_length_a 6.5779
_cell_length_b 6.5779
_cell_length_c 6.5779
_cell_angle_alpha 90.00
_cell_angle_beta 90.00
_cell_angle_gamma 90.00
_space_group_name_H-M_alt 'F -4 3 m'
_space_group_IT_number 216
_space_group_name_Hall 'F -4 2 3'
loop_
_atom_site_label
_atom_site_fract_x
_atom_site_fract_y
_atom_site_fract_z
Fe1 0.0000 0.0000 0.0000
Hg1 0.0000 0.0000 0.5000
Sb1 0.2500 0.2500 0.7500
W1 0.2500 0.2500 0.2500

Entry 2:
# PBE-GGA FeHgSbW, relaxed
# Crystal system: cubic
# Offset from the most stable computed form (meV/atom): 0
data_FeHgSbW
_cell_length_a 6.5021
_cell_length_b 6.5021
_cell_length_c 6.5021
_cell_angle_alpha 90.00
_cell_angle_beta 90.00
_cell_angle_gamma 90.00
_space_group_name_H-M_alt 'F -4 3 m'
_space_group_IT_number 216
_space_group_name_Hall 'F -4 2 3'
loop_
_atom_site_label
_atom_site_fract_x
_atom_site_fract_y
_atom_site_fract_z
Fe1 0.0000 0.0000 0.0000
Hg1 0.2500 0.2500 0.2500
Sb1 0.2500 0.2500 0.7500
W1 0.0000 0.0000 0.5000

The calculated volume results, record by record, are as follows: 17.8, 17.2 Å³ per atom.